10
Lattice="1.286 3.307 9.104 -5.355 -3.634 7.320 1.309 -2.814 6.081" Properties=species:S:1:pos:R:3 comment="Tb3NdTm6 | the Alexandria database | PBE-GGA | optimized geometry" delta_e_f_ev_per_fu=3.0 relative_energy_mev_per_atom=151 total_magnetization_mub_per_cell=0.00 pbc="T T T"
Tb -0.572 -2.391 11.436
Tb -2.547 -0.387 10.987
Tb 0.106 -1.594 5.807
Nd -3.263 -1.145 16.607
Tm -1.497 0.079 14.177
Tm -4.140 -3.344 10.524
Tm -0.126 0.199 8.687
Tm -1.016 -3.468 8.435
Tm 1.601 -0.088 12.015
Tm -2.350 -3.569 13.847

3
Lattice="8.095 0.008 -0.009 7.177 3.743 -0.012 0.918 0.229 3.728" Properties=species:S:1:pos:R:3 comment="KSrPt | the Alexandria database | PBE-GGA | optimized geometry" delta_e_f_ev_per_fu=-0.9 total_magnetization_mub_per_cell=0.00 pbc="T T T"
K 1.500 0.372 3.576
Pt 10.743 2.640 1.162
Sr 4.864 1.197 2.698